1.
## NdTePd4 (PBE-GGA)

Data for a relaxed NdTePd4 crystal.

It has space group F-43m (No. 216), with a = 7.7522 Å, b = 7.7522 Å, c = 7.7522 Å, α = 90.00°, β = 90.00° and γ = 90.00°. The inequivalent atoms are Nd at (0.0000, 0.0000, 0.0000), Te at (0.2500, 0.2500, 0.2500) and Pd at (0.1257, 0.1257, 0.6257).

As for the energy: -127.6 eV/cell.


2.
## Nd2Te3Pd (PBE-GGA)

Data for a relaxed Nd2Te3Pd crystal.

It has space group Pnma (No. 62), with a = 12.6621 Å, b = 4.4465 Å, c = 12.1727 Å, α = 90.00°, β = 90.00° and γ = 90.00°. The inequivalent atoms are Nd at (0.0359, 0.2500, 0.1889), Nd at (0.2047, 0.2500, 0.4850), Te at (0.0416, 0.7500, 0.3798), Te at (0.1143, 0.2500, 0.9353), Te at (0.1956, 0.7500, 0.6798) and Pd at (0.2143, 0.7500, 0.2522).

As for the energy: -127.1 eV/cell.


3.
## Nd4TePd2 (PBE-GGA)

Data for a relaxed Nd4TePd2 crystal.

It has space group Fddd (No. 70, origin choice 2), with a = 12.5496 Å, b = 12.5998 Å, c = 12.6190 Å, α = 90.00°, β = 90.00° and γ = 90.00°. The inequivalent atoms are Nd at (0.0173, 0.0172, 0.2324), Te at (0.1250, 0.1250, 0.6250) and Pd at (0.0000, 0.0000, 0.0000).

As for the energy: -297.7 eV/cell.


4.
## Nd3TePd (PBE-GGA)

Data for a relaxed Nd3TePd crystal.

It has space group P2_1/m (No. 11), with a = 8.6274 Å, b = 4.0163 Å, c = 9.3436 Å, α = 90.00°, β = 105.24° and γ = 90.00°. The inequivalent atoms are Nd at (0.0011, 0.2500, 0.3346), Nd at (0.2484, 0.2500, 0.0796), Nd at (0.3840, 0.2500, 0.6048), Te at (0.3562, 0.7500, 0.8578) and Pd at (0.2599, 0.7500, 0.3468).

As for the energy: -52.9 eV/cell.


5.
## NdThPd4 (PBE-GGA)

Data for a relaxed NdThPd4 crystal.

It has space group F-43m (No. 216), with a = 7.8202 Å, b = 7.8202 Å, c = 7.8202 Å, α = 90.00°, β = 90.00° and γ = 90.00°. The inequivalent atoms are Nd at (0.0000, 0.0000, 0.0000), Th at (0.2500, 0.2500, 0.7500) and Pd at (0.1249, 0.1249, 0.3751).

The energy above the most stable polymorph in this dataset comes out at 0.84 eV per formula unit. The formation energy comes out at -0.715 eV per atom.


6.
## NdTh2Pd (PBE-GGA)

Data for a relaxed NdTh2Pd crystal.

It has space group P4/mmm (No. 123), with a = 3.6913 Å, b = 3.6913 Å, c = 8.4457 Å, α = 90.00°, β = 90.00° and γ = 90.00°. The inequivalent atoms are Nd at (0.0000, 0.0000, 0.0000), Th at (0.5000, 0.5000, 0.2949) and Pd at (0.0000, 0.0000, 0.5000).

The energy above the most stable polymorph in this dataset comes out at 0.38 eV per formula unit. The formation energy comes out at -0.273 eV per atom.


7.
## NdTh4Pd15 (PBE-GGA)

Data for a relaxed NdTh4Pd15 crystal.

It has space group P4/mmm (No. 123), with a = 4.2083 Å, b = 4.2083 Å, c = 21.1477 Å, α = 90.00°, β = 90.00° and γ = 90.00°. The inequivalent atoms are Nd at (0.0000, 0.0000, 0.0000), Th at (0.0000, 0.0000, 0.1978), Th at (0.0000, 0.0000, 0.3994), Pd at (0.0000, 0.5000, 0.1019), Pd at (0.0000, 0.5000, 0.3005), Pd at (0.0000, 0.5000, 0.5000), Pd at (0.5000, 0.5000, 0.0000), Pd at (0.5000, 0.5000, 0.2017) and Pd at (0.5000, 0.5000, 0.4004).

The formation energy comes out at -0.913 eV per atom.


8.
## Nd2Th3Pd2 (PBE-GGA)

Data for a relaxed Nd2Th3Pd2 crystal.

It has space group C2/m (No. 12), with a = 12.1092 Å, b = 3.8899 Å, c = 9.2751 Å, α = 90.00°, β = 110.65° and γ = 90.00°. The inequivalent atoms are Nd at (0.1580, 0.0000, 0.3004), Th at (0.0000, 0.5000, 0.5000), Th at (0.1212, 0.5000, 0.9428) and Pd at (0.1436, 0.0000, 0.7106).

The formation energy comes out at -0.414 eV per atom.


Q: Which formula does entry 7 have?
A: NdTh4Pd15